A relaxed structure of ZrCoSiPt. Source: OQMD, functional PBE.

## Properties
Its total moment is 1.217 μB/f.u. The value obtained for the energy relative to the lowest polymorph listed for this composition is 0 meV/atom. The space group is No. 216.

Cell: 4.4289 4.4289 4.4289 Å, 60.00 60.00 60.00°
Site moments in Bohr magnetons follow the coordinates.
Atoms (fractional coordinates):
Co: 0.7500 0.7500 0.7500  1.12
Si: 0.0000 0.0000 0.0000  0.03
Pt: 0.2500 0.2500 0.2500  0.09
Zr: 0.5000 0.5000 0.5000  -0.02